[1]
{"formula": "Ta4Fe3W2N3", "functional": "PBE-GGA", "state": "relaxed", "total_energy_ev_per_fu": -127.16, "lattice": [[4.429, -2.572, 0.000], [4.429, 2.572, 0.000], [-2.984, 0.000, 13.504]], "species": ["Ta", "Ta", "Ta", "Ta", "Ta", "Ta", "Ta", "Ta", "Fe", "Fe", "Fe", "Fe", "Fe", "Fe", "W", "W", "W", "W", "N", "N", "N", "N", "N", "N"], "fractional_positions": [[0.018, 0.208, 0.093], [0.140, 0.307, 0.407], [0.208, 0.018, 0.593], [0.307, 0.140, 0.907], [0.693, 0.860, 0.093], [0.792, 0.982, 0.407], [0.860, 0.693, 0.593], [0.982, 0.792, 0.907], [0.078, 0.922, 0.750], [0.098, 0.411, 0.749], [0.411, 0.098, 0.249], [0.589, 0.902, 0.751], [0.902, 0.589, 0.251], [0.922, 0.078, 0.250], [0.381, 0.559, 0.161], [0.441, 0.619, 0.339], [0.559, 0.381, 0.661], [0.619, 0.441, 0.839], [0.000, 0.500, 0.000], [0.160, 0.671, 0.499], [0.329, 0.840, 0.001], [0.500, 0.000, 0.500], [0.671, 0.160, 0.999], [0.840, 0.329, 0.501]]}

=====

[2]
{"formula": "Y2TlCd", "functional": "PBE-GGA", "state": "relaxed", "total_energy_ev_per_fu": -16.24, "lattice": [[4.994, 0.000, 0.000], [-2.497, 4.325, 0.000], [0.000, 0.000, 10.621]], "species": ["Y", "Y", "Y", "Y", "Tl", "Tl", "Cd", "Cd"], "fractional_positions": [[0.333, 0.667, 0.095], [0.333, 0.667, 0.405], [0.667, 0.333, 0.595], [0.667, 0.333, 0.905], [0.000, 0.000, 0.250], [0.000, 0.000, 0.750], [0.333, 0.667, 0.750], [0.667, 0.333, 0.250]]}

=====

[3]
{"formula": "MgGaReW", "functional": "PBE-GGA", "state": "relaxed", "total_energy_ev_per_fu": -27.25, "e_above_lowest_polymorph_ev_per_atom": 0.581, "lattice": [[0.000, 3.137, 3.137], [3.137, 0.000, 3.137], [3.137, 3.137, 0.000]], "species": ["Mg", "Ga", "Re", "W"], "fractional_positions": [[0.000, 0.000, 0.000], [0.500, 0.500, 0.500], [0.250, 0.250, 0.250], [0.750, 0.750, 0.750]]}

=====

[4]
{"formula": "Pr2Nd2C2Br5", "functional": "PBE-GGA", "state": "relaxed", "total_energy_ev_per_fu": -60.82, "e_above_lowest_polymorph_ev_per_atom": 0.011, "lattice": [[9.783, -1.971, 0.000], [9.783, 1.971, 0.000], [-2.169, 0.000, 8.004]], "species": ["Pr", "Pr", "Nd", "Nd", "C", "C", "Br", "Br", "Br", "Br", "Br"], "fractional_positions": [[0.158, 0.158, 0.104], [0.842, 0.842, 0.896], [0.500, 0.500, 0.202], [0.500, 0.500, 0.798], [0.037, 0.037, 0.024], [0.963, 0.963, 0.976], [0.000, 0.000, 0.500], [0.334, 0.334, 0.170], [0.341, 0.341, 0.626], [0.659, 0.659, 0.374], [0.666, 0.666, 0.830]]}

=====

[5]
{"formula": "AcReMo", "functional": "PBE-GGA", "state": "relaxed", "total_energy_ev_per_fu": -21.00, "e_form_ev_per_atom": 2.124, "e_above_lowest_polymorph_ev_per_atom": 1.146, "lattice": [[0.000, 3.257, 3.257], [3.257, 0.000, 3.257], [3.257, 3.257, 0.000]], "species": ["Ac", "Re", "Mo"], "fractional_positions": [[0.000, 0.000, 0.000], [0.250, 0.250, 0.250], [0.750, 0.750, 0.750]]}

=====

[6]
{"formula": "Li2PdPb", "functional": "PBE-GGA", "state": "relaxed", "total_energy_ev_per_fu": -14.22, "lattice": [[-2.255, 2.255, 3.208], [2.255, -2.255, 3.208], [2.255, 2.255, -3.208]], "species": ["Li", "Li", "Pd", "Pb"], "fractional_positions": [[0.250, 0.750, 0.500], [0.750, 0.250, 0.500], [0.000, 0.000, 0.000], [0.500, 0.500, 0.000]]}

=====

[7]
{"formula": "LiIn2Pt", "functional": "PBE-GGA", "state": "relaxed", "total_energy_ev_per_fu": -15.24, "e_above_lowest_polymorph_ev_per_atom": 0.053, "lattice": [[7.634, 0.000, 0.000], [0.000, 7.988, 0.000], [0.000, 0.000, 5.535]], "species": ["Li", "Li", "Li", "Li", "In", "In", "In", "In", "In", "In", "In", "In", "Pt", "Pt", "Pt", "Pt"], "fractional_positions": [[0.032, 0.250, 0.096], [0.468, 0.750, 0.596], [0.532, 0.250, 0.404], [0.968, 0.750, 0.904], [0.173, 0.048, 0.631], [0.173, 0.452, 0.631], [0.327, 0.548, 0.131], [0.327, 0.952, 0.131], [0.673, 0.048, 0.869], [0.673, 0.452, 0.869], [0.827, 0.548, 0.369], [0.827, 0.952, 0.369], [0.120, 0.750, 0.403], [0.380, 0.250, 0.903], [0.620, 0.750, 0.097], [0.880, 0.250, 0.597]]}

=====

[8]
{"formula": "Nd2ZnIr", "functional": "PBE-GGA", "state": "relaxed", "total_energy_ev_per_fu": -21.85, "e_form_ev_per_atom": -0.550, "lattice": [[5.905, 0.000, 0.000], [0.000, 4.465, 0.000], [-2.940, 0.000, 7.417]], "species": ["Nd", "Nd", "Nd", "Nd", "Zn", "Zn", "Ir", "Ir"], "fractional_positions": [[0.187, 0.250, 0.420], [0.275, 0.750, 0.063], [0.725, 0.250, 0.937], [0.813, 0.750, 0.580], [0.366, 0.750, 0.714], [0.634, 0.250, 0.286], [0.144, 0.250, 0.785], [0.856, 0.750, 0.215]]}

=====

[9]
{"formula": "PmSbW", "functional": "PBE-GGA", "state": "relaxed", "total_energy_ev_per_fu": -18.15, "lattice": [[0.000, 3.543, 3.543], [3.543, 0.000, 3.543], [3.543, 3.543, 0.000]], "species": ["Pm", "Sb", "W"], "fractional_positions": [[0.000, 0.000, 0.000], [0.750, 0.750, 0.750], [0.250, 0.250, 0.250]]}

=====

[10]
{"formula": "PrGdGe4Os2", "functional": "PBE-GGA", "state": "relaxed", "total_energy_ev_per_fu": -54.30, "lattice": [[4.527, 0.000, 0.000], [0.000, 4.430, 0.000], [-1.997, 0.000, 8.190]], "species": ["Pr", "Gd", "Ge", "Ge", "Ge", "Ge", "Os", "Os"], "fractional_positions": [[0.000, 0.000, 0.000], [0.209, 0.500, 0.417], [0.278, 0.000, 0.704], [0.559, 0.500, 0.116], [0.644, 0.000, 0.296], [0.921, 0.500, 0.703], [0.484, 0.500, 0.821], [0.714, 0.000, 0.588]]}

=====

[11]
{"formula": "MgZnNO", "functional": "PBE-GGA", "state": "relaxed", "total_energy_ev_per_fu": -19.23, "e_above_lowest_polymorph_ev_per_atom": 0.139, "lattice": [[3.169, 0.000, 0.000], [0.000, 5.778, 0.000], [0.000, 0.000, 5.360]], "species": ["Mg", "Mg", "Zn", "Zn", "N", "N", "O", "O"], "fractional_positions": [[0.000, 0.158, 0.000], [0.000, 0.842, 0.500], [0.500, 0.344, 0.491], [0.500, 0.656, 0.991], [0.500, 0.343, 0.856], [0.500, 0.657, 0.356], [0.000, 0.160, 0.368], [0.000, 0.840, 0.868]]}

=====

[12]
{"formula": "LaNdGa2Pd4", "functional": "PBE-GGA", "state": "relaxed", "total_energy_ev_per_fu": -43.22, "lattice": [[4.480, 0.000, 0.000], [-2.240, 3.880, 0.000], [0.000, 0.000, 9.429]], "species": ["La", "Nd", "Ga", "Ga", "Pd", "Pd", "Pd", "Pd"], "fractional_positions": [[0.000, 0.000, 0.000], [0.333, 0.667, 0.500], [0.667, 0.333, 0.254], [0.667, 0.333, 0.746], [0.000, 0.000, 0.326], [0.000, 0.000, 0.674], [0.333, 0.667, 0.178], [0.333, 0.667, 0.822]]}

=====

[13]
{"formula": "MgPdNO", "functional": "PBE-GGA", "state": "relaxed", "total_energy_ev_per_fu": -21.79, "e_above_lowest_polymorph_ev_per_atom": 0.198, "lattice": [[3.175, 0.000, 0.000], [0.000, 3.175, 0.000], [0.000, 0.000, 4.127]], "species": ["Mg", "Pd", "N", "O"], "fractional_positions": [[0.000, 0.000, 0.000], [0.500, 0.500, 0.500], [0.500, 0.500, 0.000], [0.000, 0.000, 0.500]]}

=====

[14]
{"formula": "SrCu2P4", "functional": "PBE-GGA", "state": "relaxed", "total_energy_ev_per_fu": -32.44, "lattice": [[0.000, 4.152, 10.692], [3.120, 0.000, 10.692], [3.120, 4.152, 0.000]], "species": ["Sr", "Sr", "Cu", "Cu", "Cu", "Cu", "P", "P", "P", "P", "P", "P", "P", "P"], "fractional_positions": [[0.125, 0.125, 0.125], [0.875, 0.875, 0.875], [0.035, 0.035, 0.715], [0.285, 0.285, 0.965], [0.715, 0.715, 0.035], [0.965, 0.965, 0.285], [0.111, 0.487, 0.392], [0.392, 0.510, 0.111], [0.487, 0.111, 0.510], [0.490, 0.608, 0.513], [0.510, 0.392, 0.487], [0.513, 0.889, 0.490], [0.608, 0.490, 0.889], [0.889, 0.513, 0.608]]}

=====

[15]
{"formula": "ReBr", "functional": "PBE-GGA", "state": "relaxed", "total_energy_ev_per_fu": -10.89, "e_above_lowest_polymorph_ev_per_atom": 0.089, "lattice": [[4.307, 0.000, 0.000], [-2.154, 3.730, 0.000], [0.000, 0.000, 4.944]], "species": ["Re", "Re", "Br", "Br"], "fractional_positions": [[0.000, 0.000, 0.000], [0.000, 0.000, 0.500], [0.333, 0.667, 0.250], [0.667, 0.333, 0.750]]}

=====

[16]
{"formula": "GdNpIn", "functional": "PBE-GGA", "state": "relaxed", "total_energy_ev_per_fu": -18.79, "e_above_lowest_polymorph_ev_per_atom": 0.000, "lattice": [[0.000, 3.684, 3.684], [3.684, 0.000, 3.684], [3.684, 3.684, 0.000]], "species": ["Gd", "Np", "In"], "fractional_positions": [[0.000, 0.000, 0.000], [0.500, 0.500, 0.500], [0.250, 0.250, 0.250]]}

=====

[17]
{"formula": "CuOs3I", "functional": "PBE-GGA", "state": "relaxed", "total_energy_ev_per_fu": -24.22, "lattice": [[4.785, 0.000, 0.000], [0.000, 4.785, 0.000], [0.000, 0.000, 4.785]], "species": ["Cu", "Os", "Os", "Os", "I"], "fractional_positions": [[0.000, 0.000, 0.000], [0.000, 0.500, 0.500], [0.500, 0.000, 0.500], [0.500, 0.500, 0.000], [0.500, 0.500, 0.500]]}

=====

[18]
{"formula": "YTlCdFe", "functional": "PBE-GGA", "state": "relaxed", "total_energy_ev_per_fu": -17.31, "e_above_lowest_polymorph_ev_per_atom": 0.083, "lattice": [[0.000, 3.507, 3.507], [3.507, 0.000, 3.507], [3.507, 3.507, 0.000]], "species": ["Y", "Tl", "Cd", "Fe"], "fractional_positions": [[0.000, 0.000, 0.000], [0.500, 0.500, 0.500], [0.250, 0.250, 0.250], [0.750, 0.750, 0.750]]}

=====

[19]
{"formula": "Hf2Ta4Au3N3", "functional": "PBE-GGA", "state": "relaxed", "total_energy_ev_per_fu": -111.47, "lattice": [[4.818, -2.790, 0.000], [4.818, 2.790, 0.000], [-3.229, 0.000, 13.473]], "species": ["Hf", "Hf", "Hf", "Hf", "Ta", "Ta", "Ta", "Ta", "Ta", "Ta", "Ta", "Ta", "Au", "Au", "Au", "Au", "Au", "Au", "N", "N", "N", "N", "N", "N"], "fractional_positions": [[0.035, 0.873, 0.604], [0.127, 0.965, 0.896], [0.873, 0.035, 0.104], [0.965, 0.127, 0.396], [0.192, 0.363, 0.079], [0.310, 0.471, 0.421], [0.363, 0.192, 0.579], [0.471, 0.310, 0.921], [0.529, 0.690, 0.079], [0.637, 0.808, 0.421], [0.690, 0.529, 0.579], [0.808, 0.637, 0.921], [0.082, 0.305, 0.750], [0.305, 0.082, 0.250], [0.468, 0.532, 0.750], [0.532, 0.468, 0.250], [0.695, 0.918, 0.750], [0.918, 0.695, 0.250], [0.000, 0.500, 0.500], [0.154, 0.692, 0.000], [0.308, 0.846, 0.500], [0.500, 0.000, 0.000], [0.692, 0.154, 0.500], [0.846, 0.308, 0.000]]}

=====

[20]
{"formula": "WSe3SBr", "functional": "PBE-GGA", "state": "relaxed", "total_energy_ev_per_fu": -31.41, "e_above_lowest_polymorph_ev_per_atom": 0.000, "lattice": [[6.333, 0.000, 0.000], [-0.894, 8.087, 0.000], [-2.273, -4.277, 6.696]], "species": ["W", "W", "Se", "Se", "Se", "Se", "Se", "Se", "S", "S", "Br", "Br"], "fractional_positions": [[0.222, 0.000, 0.000], [0.778, 0.000, 0.000], [0.125, 0.308, 0.228], [0.386, 0.924, 0.712], [0.465, 0.755, 0.000], [0.535, 0.245, 0.000], [0.614, 0.076, 0.288], [0.875, 0.692, 0.772], [0.026, 0.849, 0.130], [0.974, 0.151, 0.870], [0.266, 0.370, 0.595], [0.734, 0.630, 0.405]]}